#1
Entry from Alexandria: CaZrSi2 after structural relaxation (PBE).

total magnetic moment = 0.0 μB per cell
symmetry = No. 122

Lattice parameters (Å, degrees): 4.861 4.861 9.668 75.44 75.44 90.00
Positions (direct):
Si1 0.375 0.225 0.750
Si2 0.875 0.025 0.750
Si3 0.775 0.125 0.250
Si4 0.975 0.625 0.250
Ca1 0.250 0.750 0.500
Ca2 0.500 0.500 0.000
Zr1 0.750 0.250 0.500
Zr2 0.000 0.000 0.000

***

#2
Entry from Alexandria: CaZrSi2 after structural relaxation (PBE).

total magnetic moment = 0.0 μB per cell
symmetry = No. 123

Lattice parameters (Å, degrees): 5.188 5.184 2.950 90.00 90.00 90.00
Positions (direct):
Si1 0.000 0.000 0.000
Si2 0.500 0.500 0.000
Ca1 0.000 0.500 0.500
Zr1 0.500 0.000 0.500

***

Quick one: least stable of them? #1

***

#1
Entry from Alexandria: CaZrSi2 after structural relaxation (PBE).

total magnetic moment = 0.3 μB per cell
symmetry = No. 123

Lattice parameters (Å, degrees): 3.591 3.591 6.462 90.00 90.00 90.00
Positions (direct):
Si1 0.000 0.000 0.441
Si2 0.000 0.000 0.059
Ca1 0.500 0.500 0.750
Zr1 0.500 0.500 0.250

***

#2
Entry from Alexandria: CaZrSi2 after structural relaxation (PBE).

total magnetic moment = 0.0 μB per cell
symmetry = No. 35

Lattice parameters (Å, degrees): 3.311 3.311 7.704 90.00 90.00 90.09
Positions (direct):
Si1 0.500 0.500 0.207
Si2 0.000 0.000 0.069
Zr1 0.000 0.000 0.423
Ca1 0.500 0.500 0.801

***

#3
Entry from Alexandria: CaZrSi2 after structural relaxation (PBE).

total magnetic moment = 0.0 μB per cell
symmetry = No. 38

Lattice parameters (Å, degrees): 5.609 5.609 3.771 89.99 89.99 42.75
Positions (direct):
Zr1 0.508 0.508 0.625
Ca1 0.228 0.228 0.125
Si1 0.957 0.957 0.125
Si2 0.806 0.806 0.625

***

#4
Entry from Alexandria: CaZrSi2 after structural relaxation (PBE).

total magnetic moment = 0.0 μB per cell
symmetry = No. 65

Lattice parameters (Å, degrees): 5.147 5.147 3.007 90.00 90.00 102.09
Positions (direct):
Zr1 0.500 0.000 0.500
Si1 0.500 0.500 0.000
Si2 0.000 0.000 0.000
Ca1 0.000 0.500 0.500

***

Quick one: least stable of them? #2

***

#1
Entry from Alexandria: Ca3ZrSi after structural relaxation (PBE).

total magnetic moment = 3.9 μB per cell
symmetry = No. 221

Lattice parameters (Å, degrees): 5.626 5.626 5.626 90.00 90.00 90.00
Positions (direct):
Ca1 0.000 0.500 0.000
Ca2 0.000 0.000 0.500
Ca3 0.500 0.000 0.000
Zr1 0.500 0.500 0.500
Si1 0.000 0.000 0.000

***

#2
Entry from Alexandria: Ca3ZrSi after structural relaxation (PBE).

total magnetic moment = 0.0 μB per cell
symmetry = No. 221

Lattice parameters (Å, degrees): 5.584 5.584 5.584 90.00 90.00 90.00
Positions (direct):
Si1 0.500 0.500 0.500
Ca1 0.000 0.500 0.000
Ca2 0.000 0.000 0.500
Ca3 0.500 0.000 0.000
Zr1 0.000 0.000 0.000

***

Quick one: least stable of them? #2

***

#1
Entry from Alexandria: CaSm4 after structural relaxation (PBE).

total magnetic moment = 0.0 μB per cell
symmetry = No. 166

Lattice parameters (Å, degrees): 3.661 3.661 15.263 83.15 83.15 59.96
Positions (direct):
Sm1 0.200 0.200 0.401
Sm2 0.800 0.800 0.599
Sm3 0.403 0.403 0.789
Sm4 0.597 0.597 0.211
Ca1 0.000 0.000 0.000

***

#2
Entry from Alexandria: CaSm4 after structural relaxation (PBE).

total magnetic moment = 0.0 μB per cell
symmetry = No. 221

Lattice parameters (Å, degrees): 5.746 5.746 5.746 90.00 90.00 90.00
Positions (direct):
Sm1 0.000 0.500 0.500
Sm2 0.000 0.000 0.000
Sm3 0.500 0.000 0.500
Sm4 0.500 0.500 0.000
Ca1 0.500 0.500 0.500

***

Quick one: least stable of them? #2

***

#1
Entry from Alexandria: CaSm after structural relaxation (PBE).

total magnetic moment = 0.0 μB per cell
symmetry = No. 221

Lattice parameters (Å, degrees): 4.185 4.185 4.185 90.00 90.00 90.00
Positions (direct):
Sm1 0.000 0.000 0.000
Ca1 0.500 0.500 0.500

***

#2
Entry from Alexandria: CaSm after structural relaxation (PBE).

total magnetic moment = 0.0 μB per cell
symmetry = No. 59

Lattice parameters (Å, degrees): 3.660 7.555 5.351 90.00 90.00 90.02
Positions (direct):
Sm1 0.750 0.892 0.750
Sm2 0.250 0.108 0.250
Ca1 0.750 0.368 0.750
Ca2 0.250 0.632 0.250

***

#3
Entry from Alexandria: CaSm after structural relaxation (PBE).

total magnetic moment = 0.0 μB per cell
symmetry = No. 160

Lattice parameters (Å, degrees): 3.731 3.731 12.582 81.47 81.47 60.00
Positions (direct):
Ca1 0.130 0.130 0.609
Ca2 0.552 0.552 0.344
Sm1 0.712 0.712 0.865
Sm2 0.303 0.303 0.090

***

#4
Entry from Alexandria: CaSm after structural relaxation (PBE).

total magnetic moment = 0.0 μB per cell
symmetry = No. 129

Lattice parameters (Å, degrees): 3.738 3.738 10.679 90.00 90.00 90.02
Positions (direct):
Ca1 0.000 0.000 0.489
Ca2 0.500 0.500 0.761
Sm1 0.500 0.500 0.234
Sm2 0.000 0.000 0.016

***

Quick one: least stable of them? #1